BaLi4Ca after structural relaxation, computed with PBE.

a = 6.401 Å, b = 6.401 Å, c = 6.401 Å
α = 60.00°, β = 60.00°, γ = 60.00°
Atoms (fractional coordinates):
Li  0.115  0.628  0.628
Li  0.628  0.115  0.628
Li  0.628  0.628  0.628
Li  0.628  0.628  0.115
Ca  0.000  0.000  0.000
Ba  0.250  0.250  0.250

Properties
The density of states at the Fermi level is 6.46 states/eV per cell. The density comes out at 1.84 g cm⁻³. Its crystal system is cubic. The total energy is -1.913 eV/atom.

BaLiCa4 after structural relaxation, computed with PBE.

a = 7.348 Å, b = 7.348 Å, c = 7.348 Å
α = 60.00°, β = 60.00°, γ = 60.00°
Atoms (fractional coordinates):
Li  0.750  0.750  0.750
Ca  0.375  0.375  0.875
Ca  0.375  0.375  0.375
Ca  0.875  0.375  0.375
Ca  0.375  0.875  0.375
Ba  0.000  0.000  0.000

Properties
The value obtained for the energy above the most stable polymorph in this dataset is 0.092 eV per atom. The density of states at the Fermi level is 5.22 states/eV per cell. The density comes out at 1.80 g cm⁻³. Its crystal system is cubic. The total energy is -1.812 eV/atom.

BaLi8Ca3 after structural relaxation, computed with PBE.

a = 6.308 Å, b = 6.308 Å, c = 10.181 Å
α = 90.00°, β = 90.00°, γ = 120.00°
Atoms (fractional coordinates):
Li  0.661  0.831  0.242
Li  0.333  0.667  0.494
Li  0.502  0.498  0.760
Li  0.333  0.667  0.996
Li  0.502  0.003  0.760
Li  0.169  0.339  0.242
Li  0.997  0.498  0.760
Li  0.169  0.831  0.242
Ca  0.667  0.333  0.426
Ca  0.000  0.000  0.951
Ca  0.667  0.333  0.061
Ba  0.000  0.000  0.564

Properties
The value obtained for the energy above the most stable polymorph in this dataset is 0.000 eV per atom. The density of states at the Fermi level is 9.02 states/eV per cell. The density comes out at 1.48 g cm⁻³. Its crystal system is trigonal. The total energy is -1.934 eV/atom.